The following is a DFT calculation (PBE-GGA) of a geometry-optimized Tb12SmDy6 structure.

## Properties
N(E_F) = 25.05 states/eV/f.u.
Energy above the most stable polymorph in this dataset = 288 meV/atom
Theoretical density = 7683 kg/m³
Magnetization = 0.00 μB/f.u.
Energy of formation = 0.440 eV/atom

Unit cell a=9.3614 b=9.3614 c=9.3614 alpha=108.40 beta=108.40 gamma=108.40
Closest atoms and distances in Å follow each position.
Fractional positions:
Tb 0.0000 0.3907 0.6093  4 Dy 3.29-3.42, 3 Tb 3.32-3.61
Tb 0.0000 0.6093 0.3907  4 Dy 3.29-3.42, 3 Tb 3.32-3.61
Tb 0.1290 0.1290 0.3406  1 Dy 3.01, 2 Tb 3.21
Tb 0.1290 0.3406 0.1290  1 Dy 3.01, 2 Tb 3.21
Tb 0.3406 0.1290 0.1290  1 Dy 3.01, 2 Tb 3.21
Tb 0.3907 0.0000 0.6093  4 Dy 3.29-3.42, 3 Tb 3.32-3.61
Tb 0.3907 0.6093 0.0000  4 Dy 3.29-3.42, 3 Tb 3.32-3.61
Tb 0.6093 0.0000 0.3907  4 Dy 3.29-3.42, 3 Tb 3.32-3.61
Tb 0.6093 0.3907 0.0000  4 Dy 3.29-3.42, 3 Tb 3.32-3.61
Tb 0.6594 0.8710 0.8710  1 Dy 3.01, 2 Tb 3.21
Tb 0.8710 0.6594 0.8710  1 Dy 3.01, 2 Tb 3.21
Tb 0.8710 0.8710 0.6594  1 Dy 3.01, 2 Tb 3.21
Sm 0.5000 0.5000 0.5000  6 Tb 3.49
Dy 0.1796 0.1796 0.7498  3 Tb 3.01-3.29
Dy 0.1796 0.7498 0.1796  3 Tb 3.01-3.29
Dy 0.2502 0.8204 0.8204  3 Tb 3.01-3.29
Dy 0.7498 0.1796 0.1796  3 Tb 3.01-3.29
Dy 0.8204 0.2502 0.8204  3 Tb 3.01-3.29
Dy 0.8204 0.8204 0.2502  3 Tb 3.01-3.29